Entry 1:
This record from Alexandria describes a relaxed BaNaSN2 crystal. The functional is GGA-PBE.

Values from the calculation:
ΔE to the lowest computed polymorph   0.000 eV per atom
Crystal system   tetragonal
VASP energy   -4.05 eV per atom
Calculated volume   112.5 Å³/cell
DOS at the Fermi energy   1.6 states/eV/cell
Raw formation energy   0.754 eV/atom

The structure in CIF format:
```
data_BaNaSN2
_chemical_formula_sum 'Ba1 Na1 S1 N2'
_symmetry_space_group_name_H-M 'P 4/m m m'
_symmetry_Int_Tables_number 123
_symmetry_space_group_name_Hall '-P 4 2'
_cell_length_a 4.6531
_cell_length_b 4.6531
_cell_length_c 5.1965
_cell_angle_alpha 90.00
_cell_angle_beta 90.00
_cell_angle_gamma 90.00
loop_
_atom_site_label
_atom_site_type_symbol
_atom_site_fract_x
_atom_site_fract_y
_atom_site_fract_z
Ba1 Ba 0.0000 0.0000 0.0000
Na1 Na 0.5000 0.5000 0.5000
S1 S 0.5000 0.5000 0.0000
N1 N 0.0000 0.5000 0.5000
```



Entry 2:
This record from Alexandria describes a relaxed BaNa2SN crystal. The functional is GGA-PBE.

Values from the calculation:
Crystal system   tetragonal
VASP energy   -3.93 eV per atom
Calculated volume   113.9 Å³/cell
DOS at the Fermi energy   3.8 states/eV/cell
Raw formation energy   -0.528 eV/atom

The structure in CIF format:
```
data_BaNa2SN
_chemical_formula_sum 'Ba1 Na2 S1 N1'
_symmetry_space_group_name_H-M 'P 4/m m m'
_symmetry_Int_Tables_number 123
_symmetry_space_group_name_Hall '-P 4 2'
_cell_length_a 4.7442
_cell_length_b 4.7442
_cell_length_c 5.0603
_cell_angle_alpha 90.00
_cell_angle_beta 90.00
_cell_angle_gamma 90.00
loop_
_atom_site_label
_atom_site_type_symbol
_atom_site_fract_x
_atom_site_fract_y
_atom_site_fract_z
Ba1 Ba 0.0000 0.0000 0.0000
Na1 Na 0.0000 0.5000 0.5000
S1 S 0.5000 0.5000 0.0000
N1 N 0.0000 0.0000 0.5000
```



Entry 3:
This record from Alexandria describes a relaxed Ba2NaSbN crystal. The functional is GGA-PBE.

Values from the calculation:
Crystal system   tetragonal
VASP energy   -4.02 eV per atom
Calculated volume   150.8 Å³/cell
DOS at the Fermi energy   6.4 states/eV/cell
Raw formation energy   -0.499 eV/atom

The structure in CIF format:
```
data_Ba2NaSbN
_chemical_formula_sum 'Ba2 Na1 Sb1 N1'
_symmetry_space_group_name_H-M 'P 4/m m m'
_symmetry_Int_Tables_number 123
_symmetry_space_group_name_Hall '-P 4 2'
_cell_length_a 5.5013
_cell_length_b 5.5013
_cell_length_c 4.9815
_cell_angle_alpha 90.00
_cell_angle_beta 90.00
_cell_angle_gamma 90.00
loop_
_atom_site_label
_atom_site_type_symbol
_atom_site_fract_x
_atom_site_fract_y
_atom_site_fract_z
Ba1 Ba 0.0000 0.5000 0.0000
Na1 Na 0.0000 0.0000 0.5000
Sb1 Sb 0.5000 0.5000 0.5000
N1 N 0.0000 0.0000 0.0000
```



Entry 4:
This record from Alexandria describes a relaxed BaNaSeN2 crystal. The functional is GGA-PBE.

Values from the calculation:
ΔE to the lowest computed polymorph   0.000 eV per atom
Crystal system   tetragonal
VASP energy   -3.91 eV per atom
Calculated volume   121.5 Å³/cell
DOS at the Fermi energy   1.9 states/eV/cell
Raw formation energy   0.769 eV/atom

The structure in CIF format:
```
data_BaNaSeN2
_chemical_formula_sum 'Ba1 Na1 Se1 N2'
_symmetry_space_group_name_H-M 'P 4/m m m'
_symmetry_Int_Tables_number 123
_symmetry_space_group_name_Hall '-P 4 2'
_cell_length_a 4.7407
_cell_length_b 4.7407
_cell_length_c 5.4082
_cell_angle_alpha 90.00
_cell_angle_beta 90.00
_cell_angle_gamma 90.00
loop_
_atom_site_label
_atom_site_type_symbol
_atom_site_fract_x
_atom_site_fract_y
_atom_site_fract_z
Ba1 Ba 0.0000 0.0000 0.0000
Na1 Na 0.5000 0.5000 0.5000
Se1 Se 0.5000 0.5000 0.0000
N1 N 0.0000 0.5000 0.5000
```



Entry 5:
This record from Alexandria describes a relaxed BaNaSeN2 crystal. The functional is GGA-PBE.

Values from the calculation:
ΔE to the lowest computed polymorph   0.210 eV per atom
Crystal system   tetragonal
VASP energy   -3.70 eV per atom
Calculated volume   176.9 Å³/cell
DOS at the Fermi energy   2.8 states/eV/cell
Raw formation energy   0.978 eV/atom

The structure in CIF format:
```
data_BaNaSeN2
_chemical_formula_sum 'Ba1 Na1 Se1 N2'
_symmetry_space_group_name_H-M 'P 4/m m m'
_symmetry_Int_Tables_number 123
_symmetry_space_group_name_Hall '-P 4 2'
_cell_length_a 5.2819
_cell_length_b 5.2819
_cell_length_c 6.3409
_cell_angle_alpha 90.00
_cell_angle_beta 90.00
_cell_angle_gamma 90.00
loop_
_atom_site_label
_atom_site_type_symbol
_atom_site_fract_x
_atom_site_fract_y
_atom_site_fract_z
Ba1 Ba 0.0000 0.0000 0.0000
Na1 Na 0.5000 0.5000 0.5000
Se1 Se 0.0000 0.0000 0.5000
N1 N 0.0000 0.5000 0.0000
```



Entry 6:
This record from Alexandria describes a relaxed Ba4Na2Sr2N crystal. The functional is GGA-PBE.

Values from the calculation:
Crystal system   monoclinic
VASP energy   -2.57 eV per atom
Calculated volume   845.0 Å³/cell
DOS at the Fermi energy   18.6 states/eV/cell
Raw formation energy   -0.126 eV/atom

The structure in CIF format:
```
data_Ba4Na2Sr2N
_chemical_formula_sum 'Ba8 Na4 Sr4 N2'
_symmetry_space_group_name_H-M 'C 1 2/m 1'
_symmetry_Int_Tables_number 12
_cell_length_a 14.2567
_cell_length_b 8.4334
_cell_length_c 7.0879
_cell_angle_alpha 90.00
_cell_angle_beta 97.47
_cell_angle_gamma 90.00
loop_
_symmetry_equiv_pos_as_xyz
'x,y,z'
'-x,-y,-z'
'-x,y,-z'
'x,-y,z'
'x+1/2,y+1/2,z'
'-x+1/2,-y+1/2,-z'
'-x+1/2,y+1/2,-z'
'x+1/2,-y+1/2,z'
loop_
_atom_site_label
_atom_site_type_symbol
_atom_site_fract_x
_atom_site_fract_y
_atom_site_fract_z
Ba1 Ba 0.0926 0.2352 0.3002
Na1 Na 0.1570 0.5000 0.7868
Sr1 Sr 0.1384 0.0000 0.7690
N1 N 0.0000 0.0000 0.5000
```



Entry 7:
This record from Alexandria describes a relaxed Ba2Na2SrN2 crystal. The functional is GGA-PBE.

Values from the calculation:
Crystal system   tetragonal
VASP energy   -3.66 eV per atom
Calculated volume   493.6 Å³/cell
DOS at the Fermi energy   5.6 states/eV/cell
Raw formation energy   -0.115 eV/atom

The structure in CIF format:
```
data_Ba2Na2SrN2
_chemical_formula_sum 'Ba4 Na4 Sr2 N4'
_symmetry_space_group_name_H-M 'I 4/m m m'
_symmetry_Int_Tables_number 139
_symmetry_space_group_name_Hall '-I 4 2'
_cell_length_a 4.8818
_cell_length_b 4.8818
_cell_length_c 20.7110
_cell_angle_alpha 90.00
_cell_angle_beta 90.00
_cell_angle_gamma 90.00
loop_
_atom_site_label
_atom_site_type_symbol
_atom_site_fract_x
_atom_site_fract_y
_atom_site_fract_z
Ba1 Ba 0.0000 0.0000 0.0782
Na1 Na 0.0000 0.0000 0.2805
Sr1 Sr 0.0000 0.0000 0.5000
N1 N 0.0000 0.5000 0.0000
```



Entry 8:
This record from Alexandria describes a relaxed Ba2NaSrN crystal. The functional is GGA-PBE.

Values from the calculation:
Crystal system   tetragonal
VASP energy   -3.21 eV per atom
Calculated volume   184.5 Å³/cell
DOS at the Fermi energy   4.3 states/eV/cell
Raw formation energy   -0.173 eV/atom

The structure in CIF format:
```
data_Ba2NaSrN
_chemical_formula_sum 'Ba2 Na1 Sr1 N1'
_symmetry_space_group_name_H-M 'P 4/m m m'
_symmetry_Int_Tables_number 123
_symmetry_space_group_name_Hall '-P 4 2'
_cell_length_a 5.8375
_cell_length_b 5.8375
_cell_length_c 5.4148
_cell_angle_alpha 90.00
_cell_angle_beta 90.00
_cell_angle_gamma 90.00
loop_
_atom_site_label
_atom_site_type_symbol
_atom_site_fract_x
_atom_site_fract_y
_atom_site_fract_z
Ba1 Ba 0.0000 0.5000 0.0000
Na1 Na 0.0000 0.0000 0.5000
Sr1 Sr 0.5000 0.5000 0.5000
N1 N 0.5000 0.5000 0.0000
```



Entry 9:
This record from Alexandria describes a relaxed BaNaTa4N8 crystal. The functional is GGA-PBE.

Values from the calculation:
Crystal system   trigonal
VASP energy   -9.05 eV per atom
Calculated volume   604.0 Å³/cell
DOS at the Fermi energy   15.1 states/eV/cell
Raw formation energy   -0.675 eV/atom

The structure in CIF format:
```
data_BaNaTa4N8
_chemical_formula_sum 'Ba3 Na3 Ta12 N24'
_symmetry_space_group_name_H-M 'R 3 m'
_symmetry_Int_Tables_number 160
_symmetry_space_group_name_Hall 'R 3 -2"'
_cell_length_a 6.3810
_cell_length_b 6.3810
_cell_length_c 17.1288
_cell_angle_alpha 90.00
_cell_angle_beta 90.00
_cell_angle_gamma 120.00
loop_
_atom_site_label
_atom_site_type_symbol
_atom_site_fract_x
_atom_site_fract_y
_atom_site_fract_z
Ba1 Ba 0.0000 0.0000 0.0000
Na1 Na 0.0000 0.0000 0.6311
Ta1 Ta 0.0000 0.0000 0.2524
Ta2 Ta 0.1721 0.3441 0.4639
N1 N 0.0000 0.0000 0.3953
N2 N 0.0000 0.0000 0.8607
N3 N 0.0105 0.5052 0.8739
N4 N 0.0469 0.5235 0.4066
```



Entry 10:
This record from Alexandria describes a relaxed Ba2NaTc2N4 crystal. The functional is GGA-PBE.

Values from the calculation:
Crystal system   monoclinic
VASP energy   -6.86 eV per atom
Calculated volume   303.8 Å³/cell
DOS at the Fermi energy   4.5 states/eV/cell
Raw formation energy   -0.287 eV/atom

The structure in CIF format:
```
data_Ba2NaTc2N4
_chemical_formula_sum 'Ba4 Na2 Tc4 N8'
_symmetry_space_group_name_H-M 'C 1 2/m 1'
_symmetry_Int_Tables_number 12
_cell_length_a 14.2085
_cell_length_b 3.5317
_cell_length_c 6.4424
_cell_angle_alpha 90.00
_cell_angle_beta 109.97
_cell_angle_gamma 90.00
loop_
_symmetry_equiv_pos_as_xyz
'x,y,z'
'-x,-y,-z'
'-x,y,-z'
'x,-y,z'
'x+1/2,y+1/2,z'
'-x+1/2,-y+1/2,-z'
'-x+1/2,y+1/2,-z'
'x+1/2,-y+1/2,z'
loop_
_atom_site_label
_atom_site_type_symbol
_atom_site_fract_x
_atom_site_fract_y
_atom_site_fract_z
Ba1 Ba 0.1261 0.0000 0.0067
Na1 Na 0.0000 0.0000 0.5000
Tc1 Tc 0.1831 0.5000 0.4836
N1 N 0.0553 0.5000 0.2844
N2 N 0.2244 0.0000 0.6938
```